No. 1
12
Lattice="2.4897 -7.5124 0.0000 2.4897 7.5124 0.0000 0.0000 0.0000 7.1108" Properties=species:S:1:pos:R:3 comment="Tb5ZrZn6 | Alexandria | GGA-PBE | optimized geometry" delta_e_f_mev_per_atom=-303 sg="Cmmm, No. 65" mass_density_g_cm3=7.98 pbc="T T T"
Tb 0.0000 0.0000 0.0000
Tb 2.4897 2.5458 0.0000
Tb 2.4897 2.5007 3.5554
Tb 2.4897 -2.5007 3.5554
Tb 2.4897 -2.5458 0.0000
Zr 0.0000 0.0000 3.5554
Zn 2.4897 5.1111 1.8427
Zn 2.4897 5.1111 5.2682
Zn 2.4897 0.0000 1.8774
Zn 2.4897 0.0000 5.2334
Zn 2.4897 -5.1111 1.8427
Zn 2.4897 -5.1111 5.2682

***

No. 2
10
Lattice="3.5262 0.0000 0.0000 0.0000 3.5262 0.0000 0.0000 0.0000 19.1940" Properties=species:S:1:pos:R:3 comment="Tb5ZrZn4 | Alexandria | GGA-PBE | optimized geometry" delta_e_f_mev_per_atom=-241 sg="P4/mmm, No. 123" mass_density_g_cm3=7.98 pbc="T T T"
Tb 0.0000 0.0000 0.0000
Tb 0.0000 0.0000 3.6290
Tb 0.0000 0.0000 7.3381
Tb 0.0000 0.0000 11.8560
Tb 0.0000 0.0000 15.5650
Zr 1.7631 1.7631 9.5970
Zn 1.7631 1.7631 1.8201
Zn 1.7631 1.7631 5.4746
Zn 1.7631 1.7631 13.7194
Zn 1.7631 1.7631 17.3739

***

No. 3
12
Lattice="5.3382 0.0000 0.0000 -2.6691 4.6230 0.0000 0.0000 0.0000 8.5246" Properties=species:S:1:pos:R:3 comment="TbZr3Zn8 | Alexandria | GGA-PBE | optimized geometry" delta_e_f_mev_per_atom=-265 sg="P3m1, No. 156" mass_density_g_cm3=7.54 pbc="T T T"
Tb 0.0000 0.0000 0.0000
Zr 0.0000 0.0000 3.2162
Zr 2.6691 1.5410 4.2484
Zr 2.6691 1.5410 7.3083
Zn 0.0000 1.5062 5.7924
Zn -1.3647 3.8699 5.7924
Zn 0.0000 3.0820 3.6865
Zn 0.0000 3.0820 7.9392
Zn 2.6691 0.0542 1.6041
Zn 1.3815 2.2844 1.6041
Zn 1.3647 3.8699 5.7924
Zn 3.9567 2.2844 1.6041

***

No. 4
10
Lattice="3.3908 0.0000 0.0000 0.0000 3.3908 0.0000 0.0000 0.0000 16.8968" Properties=species:S:1:pos:R:3 comment="TbZr4Zn5 | Alexandria | GGA-PBE | optimized geometry" delta_e_f_mev_per_atom=-275 sg="P4/mmm, No. 123" mass_density_g_cm3=7.27 pbc="T T T"
Tb 0.0000 0.0000 0.0000
Zr 0.0000 0.0000 3.5105
Zr 0.0000 0.0000 6.8000
Zr 0.0000 0.0000 10.0968
Zr 0.0000 0.0000 13.3863
Zn 1.6954 1.6954 1.9235
Zn 1.6954 1.6954 5.1623
Zn 1.6954 1.6954 8.4484
Zn 1.6954 1.6954 11.7345
Zn 1.6954 1.6954 14.9733

***

No. 5
6
Lattice="3.5006 0.0000 0.0000 0.0000 3.5006 0.0000 0.0000 0.0000 13.4348" Properties=species:S:1:pos:R:3 comment="Tb4ZrZn | Alexandria | GGA-PBE | optimized geometry" delta_e_f_mev_per_atom=-56 sg="P4/mmm, No. 123" mass_density_g_cm3=7.99 pbc="T T T"
Tb 0.0000 0.0000 1.7998
Tb 0.0000 0.0000 11.6350
Tb 1.7503 1.7503 4.4781
Tb 1.7503 1.7503 8.9567
Zr 0.0000 0.0000 6.7174
Zn 1.7503 1.7503 0.0000

***

No. 6
6
Lattice="0.0000 3.7871 3.7871 3.7871 0.0000 3.7871 3.7871 3.7871 0.0000" Properties=species:S:1:pos:R:3 comment="TbZrZn4 | Alexandria | GGA-PBE | optimized geometry" polymorph_energy_mev_per_atom=50 delta_e_f_mev_per_atom=-266 sg="F-43m, No. 216" mass_density_g_cm3=7.82 pbc="T T T"
Tb 0.0000 0.0000 0.0000
Zr 1.8935 1.8935 1.8935
Zn 4.7279 2.8463 2.8463
Zn 2.8463 4.7279 2.8463
Zn 2.8463 2.8463 4.7279
Zn 4.7279 4.7279 4.7279

***

No. 7
8
Lattice="3.5223 0.0000 0.0000 0.0000 3.5223 0.0000 0.0000 0.0000 14.0573" Properties=species:S:1:pos:R:3 comment="Tb3ZrZn4 | Alexandria | GGA-PBE | optimized geometry" delta_e_f_mev_per_atom=-300 sg="P4/mmm, No. 123" mass_density_g_cm3=7.90 pbc="T T T"
Tb 0.0000 0.0000 0.0000
Tb 0.0000 0.0000 3.6462
Tb 0.0000 0.0000 10.4111
Zr 0.0000 0.0000 7.0287
Zn 1.7611 1.7611 1.8102
Zn 1.7611 1.7611 5.5166
Zn 1.7611 1.7611 8.5407
Zn 1.7611 1.7611 12.2471

***

No. 8
6
Lattice="3.4762 0.0000 0.0000 0.0000 3.4762 0.0000 0.0000 0.0000 12.1017" Properties=species:S:1:pos:R:3 comment="Tb3ZrZn2 | Alexandria | GGA-PBE | optimized geometry" delta_e_f_mev_per_atom=-183 sg="P4/mmm, No. 123" mass_density_g_cm3=7.93 pbc="T T T"
Tb 0.0000 0.0000 0.0000
Tb 0.0000 0.0000 3.7704
Tb 0.0000 0.0000 8.3313
Zr 1.7381 1.7381 6.0509
Zn 1.7381 1.7381 1.8498
Zn 1.7381 1.7381 10.2520

***

No. 9
12
Lattice="4.3006 0.0000 0.0000 0.0000 6.8719 0.0000 0.0000 0.0000 7.6925" Properties=species:S:1:pos:R:3 comment="TbZrZn4 | Alexandria | GGA-PBE | optimized geometry" polymorph_energy_mev_per_atom=0 delta_e_f_mev_per_atom=-316 sg="Immm, No. 71" mass_density_g_cm3=7.48 pbc="T T T"
Tb 0.0000 0.0000 0.0000
Tb 2.1503 3.4360 3.8462
Zr 0.0000 3.4360 0.0000
Zr 2.1503 0.0000 3.8462
Zn 0.0000 1.5097 2.5647
Zn 0.0000 1.5097 5.1277
Zn 0.0000 5.3622 2.5647
Zn 0.0000 5.3622 5.1277
Zn 2.1503 1.9262 1.2815
Zn 2.1503 1.9262 6.4109
Zn 2.1503 4.9457 1.2815
Zn 2.1503 4.9457 6.4109

***

No. 10
4
Lattice="3.4966 0.0000 0.0000 0.0000 5.5263 0.0000 0.0000 0.0000 6.1168" Properties=species:S:1:pos:R:3 comment="Tb3Zr | Alexandria | GGA-PBE | optimized geometry" polymorph_energy_mev_per_atom=0 delta_e_f_mev_per_atom=91 sg="Pmm2, No. 25" mass_density_g_cm3=7.98 pbc="T T T"
Tb 0.0000 0.0000 0.0000
Tb 0.0000 2.7631 2.0571
Tb 1.7483 2.7631 4.9857
Zr 1.7483 0.0000 3.0478

***

No. 11
5
Lattice="5.5507 0.0000 0.0000 0.0000 5.5507 0.0000 0.0000 0.0000 5.5507" Properties=species:S:1:pos:R:3 comment="Tb4Zr | Alexandria | GGA-PBE | optimized geometry" delta_e_f_mev_per_atom=544 sg="Pm-3m, No. 221" mass_density_g_cm3=7.06 pbc="T T T"
Tb 0.0000 0.0000 0.0000
Tb 0.0000 2.7754 2.7754
Tb 2.7754 0.0000 2.7754
Tb 2.7754 2.7754 0.0000
Zr 2.7754 2.7754 2.7754

***

No. 12
9
Lattice="-6.2353 6.2353 1.7922 6.2353 -6.2353 1.7922 6.2353 6.2353 -1.7922" Properties=species:S:1:pos:R:3 comment="Tb8Zr | Alexandria | GGA-PBE | optimized geometry" delta_e_f_mev_per_atom=151 sg="I4/mmm, No. 139" mass_density_g_cm3=8.12 pbc="T T T"
Tb 4.1579 0.0000 0.0000
Tb 8.3128 0.0000 0.0000
Tb 0.0000 4.1579 0.0000
Tb 4.2675 4.2675 0.0000
Tb 1.9679 -1.9679 1.7922
Tb -1.9679 1.9679 1.7922
Tb 1.9679 1.9679 1.7922
Tb 0.0000 8.3128 0.0000
Zr 0.0000 0.0000 0.0000

***

No. 13
4
Lattice="4.8785 0.0000 0.0000 0.0000 4.8785 0.0000 0.0000 0.0000 4.8785" Properties=species:S:1:pos:R:3 comment="Tb3Zr | Alexandria | GGA-PBE | optimized geometry" polymorph_energy_mev_per_atom=7 delta_e_f_mev_per_atom=98 sg="Pm-3m, No. 221" mass_density_g_cm3=8.12 pbc="T T T"
Tb 0.0000 0.0000 2.4393
Tb 0.0000 2.4393 0.0000
Tb 2.4393 0.0000 0.0000
Zr 2.4393 2.4393 2.4393

***

No. 14
5
Lattice="5.1512 0.0000 0.0000 0.0000 5.1512 0.0000 0.0000 0.0000 5.1512" Properties=species:S:1:pos:R:3 comment="TbZr4 | Alexandria | GGA-PBE | optimized geometry" delta_e_f_mev_per_atom=1252 sg="Pm-3m, No. 221" mass_density_g_cm3=6.36 pbc="T T T"
Tb 0.0000 0.0000 0.0000
Zr 0.0000 0.0000 2.5756
Zr 0.0000 2.5756 0.0000
Zr 2.5756 0.0000 0.0000
Zr 2.5756 2.5756 2.5756

***

No. 15
8
Lattice="4.8904 0.0000 0.0000 0.0000 4.8904 0.0000 0.0000 0.0000 9.7230" Properties=species:S:1:pos:R:3 comment="Tb3Zr | Alexandria | GGA-PBE | optimized geometry" polymorph_energy_mev_per_atom=5 delta_e_f_mev_per_atom=96 sg="I4/mmm, No. 139" mass_density_g_cm3=8.11 pbc="T T T"
Tb 0.0000 0.0000 0.0000
Tb 0.0000 2.4452 2.4308
Tb 0.0000 2.4452 7.2923
Tb 2.4452 0.0000 2.4308
Tb 2.4452 0.0000 7.2923
Tb 2.4452 2.4452 4.8615
Zr 0.0000 0.0000 4.8615
Zr 2.4452 2.4452 0.0000

***

No. 16
8
Lattice="3.4991 0.0000 0.0000 0.0000 11.0682 0.0000 0.0000 0.0000 6.1032" Properties=species:S:1:pos:R:3 comment="Tb3Zr | Alexandria | GGA-PBE | optimized geometry" polymorph_energy_mev_per_atom=2 delta_e_f_mev_per_atom=93 sg="Imm2, No. 44" mass_density_g_cm3=7.98 pbc="T T T"
Tb 0.0000 0.0000 0.0000
Tb 0.0000 2.6743 4.0016
Tb 0.0000 8.3939 4.0016
Tb 1.7496 2.8598 0.9501
Tb 1.7496 5.5341 3.0516
Tb 1.7496 8.2084 0.9501
Zr 0.0000 5.5341 6.0228
Zr 1.7496 0.0000 2.9712

***

No. 17
12
Lattice="11.8559 0.0000 0.0000 0.0000 3.8210 0.0000 -2.1270 0.0000 6.4884" Properties=species:S:1:pos:R:3 comment="TbZr5 | Alexandria | GGA-PBE | optimized geometry" delta_e_f_mev_per_atom=95 sg="C2/m, No. 12" mass_density_g_cm3=6.95 pbc="T T T"
Tb 0.0000 0.0000 0.0000
Tb 5.9280 1.9105 0.0000
Zr -1.0635 0.0000 3.2442
Zr 1.1779 1.9105 2.3749
Zr 0.4190 1.9105 5.2949
Zr 3.3820 0.0000 1.1935
Zr 2.6231 0.0000 4.1135
Zr 4.8645 1.9105 3.2442
Zr 7.1059 0.0000 2.3749
Zr 6.3470 0.0000 5.2949
Zr 9.3099 1.9105 1.1935
Zr 8.5510 1.9105 4.1135

***

No. 18
12
Lattice="4.6046 0.0000 0.0000 0.0000 13.7804 0.0000 0.0000 0.0000 4.5880" Properties=species:S:1:pos:R:3 comment="TbZr5 | Alexandria | GGA-PBE | optimized geometry" delta_e_f_mev_per_atom=95 sg="Cmmm, No. 65" mass_density_g_cm3=7.02 pbc="T T T"
Tb 0.0000 0.0000 0.0000
Tb 2.3023 6.8902 0.0000
Zr 0.0000 2.3471 2.2940
Zr 0.0000 4.5543 0.0000
Zr 0.0000 6.8902 2.2940
Zr 0.0000 9.2261 0.0000
Zr 0.0000 11.4334 2.2940
Zr 2.3023 0.0000 2.2940
Zr 2.3023 2.3359 0.0000
Zr 2.3023 4.5431 2.2940
Zr 2.3023 9.2373 2.2940
Zr 2.3023 11.4446 0.0000

***

No. 19
2
Lattice="3.3958 0.0000 0.0000 -1.6979 2.9408 0.0000 0.0000 0.0000 5.4088" Properties=species:S:1:pos:R:3 comment="TbZr | Alexandria | GGA-PBE | optimized geometry" polymorph_energy_mev_per_atom=22 delta_e_f_mev_per_atom=117 sg="P-6m2, No. 187" mass_density_g_cm3=7.69 pbc="T T T"
Tb 0.0000 0.0000 0.0000
Zr 1.6979 0.9803 2.7044

***

No. 20
6
Lattice="3.4040 0.0000 0.0000 0.0000 3.4040 0.0000 0.0000 0.0000 14.7576" Properties=species:S:1:pos:R:3 comment="Tb2Zr | Alexandria | GGA-PBE | optimized geometry" delta_e_f_mev_per_atom=83 sg="I4/mmm, No. 139" mass_density_g_cm3=7.94 pbc="T T T"
Tb 0.0000 0.0000 2.3052
Tb 0.0000 0.0000 12.4524
Tb 1.7020 1.7020 5.0736
Tb 1.7020 1.7020 9.6840
Zr 0.0000 0.0000 7.3788
Zr 1.7020 1.7020 0.0000

***

No. 21
12
Lattice="4.9169 0.0000 0.0000 0.0000 14.7971 0.0000 0.0000 0.0000 4.9551" Properties=species:S:1:pos:R:3 comment="Tb5Zr | Alexandria | GGA-PBE | optimized geometry" delta_e_f_mev_per_atom=64 sg="Cmmm, No. 65" mass_density_g_cm3=8.16 pbc="T T T"
Tb 0.0000 0.0000 0.0000
Tb 0.0000 2.3704 2.4775
Tb 0.0000 5.0157 0.0000
Tb 0.0000 9.7814 0.0000
Tb 0.0000 12.4267 2.4775
Tb 2.4584 2.3828 0.0000
Tb 2.4584 5.0281 2.4775
Tb 2.4584 7.3986 0.0000
Tb 2.4584 9.7690 2.4775
Tb 2.4584 12.4143 0.0000
Zr 0.0000 7.3986 2.4775
Zr 2.4584 0.0000 2.4775

***

No. 22
12
Lattice="10.2324 0.0000 0.0000 -5.1162 8.8615 0.0000 0.0000 0.0000 3.1693" Properties=species:S:1:pos:R:3 comment="TbZr11 | Alexandria | GGA-PBE | optimized geometry" delta_e_f_mev_per_atom=53 sg="P6/mmm, No. 191" mass_density_g_cm3=6.72 pbc="T T T"
Tb 0.0000 0.0000 0.0000
Zr -2.5581 4.4308 0.0000
Zr 0.0000 3.1026 1.5847
Zr -2.4293 7.3103 1.5847
Zr 0.0000 5.9077 0.0000
Zr 2.6869 1.5513 1.5847
Zr 5.1162 0.0000 0.0000
Zr 2.5581 4.4308 0.0000
Zr 2.4293 7.3103 1.5847
Zr 5.1162 2.9538 0.0000
Zr 7.5455 1.5513 1.5847
Zr 5.1162 5.7590 1.5847

***

No. 23
16
Lattice="7.7961 0.0000 0.0000 0.0000 7.7961 0.0000 0.0000 0.0000 7.7961" Properties=species:S:1:pos:R:3 comment="Tb3Zr | Alexandria | GGA-PBE | optimized geometry" polymorph_energy_mev_per_atom=130 delta_e_f_mev_per_atom=221 sg="Fm-3m, No. 225" mass_density_g_cm3=7.96 pbc="T T T"
Tb 0.0000 0.0000 0.0000
Tb 0.0000 3.8980 3.8980
Tb 1.9490 1.9490 1.9490
Tb 1.9490 1.9490 5.8471
Tb 1.9490 5.8471 1.9490
Tb 1.9490 5.8471 5.8471
Tb 3.8980 0.0000 3.8980
Tb 3.8980 3.8980 0.0000
Tb 5.8471 1.9490 1.9490
Tb 5.8471 1.9490 5.8471
Tb 5.8471 5.8471 1.9490
Tb 5.8471 5.8471 5.8471
Zr 0.0000 0.0000 3.8980
Zr 0.0000 3.8980 0.0000
Zr 3.8980 0.0000 0.0000
Zr 3.8980 3.8980 3.8980

***

No. 24
12
Lattice="5.0946 0.0000 0.0000 -2.5473 4.4121 0.0000 0.0000 0.0000 9.5581" Properties=species:S:1:pos:R:3 comment="Tc2Te | Alexandria | GGA-PBE | optimized geometry" polymorph_energy_mev_per_atom=594 e_form_raw_ev_per_atom=0.59 sg="P6_3/mmc, No. 194" mass_density_g_cm3=10.00 pbc="T T T"
Tc 0.0000 0.0000 0.0000
Tc 0.0000 0.0000 4.7791
Tc 0.0000 1.4983 2.3895
Tc -1.2497 3.6629 2.3895
Tc 1.2976 0.7492 7.1686
Tc 1.2497 3.6629 2.3895
Tc 3.7971 0.7492 7.1686
Tc 2.5473 2.9138 7.1686
Te 0.0000 2.9414 5.5204
Te 0.0000 2.9414 8.8168
Te 2.5473 1.4707 0.7413
Te 2.5473 1.4707 4.0378

***

No. 25
4
Lattice="2.9617 0.0000 0.0000 0.0000 4.0493 0.0000 -0.7243 0.0000 5.4926" Properties=species:S:1:pos:R:3 comment="Tc3Te | Alexandria | GGA-PBE | optimized geometry" polymorph_energy_mev_per_atom=112 e_form_raw_ev_per_atom=0.42 sg="P2/m, No. 10" mass_density_g_cm3=10.63 pbc="T T T"
Tc 0.0000 0.0000 0.0000
Tc 0.7799 2.0247 4.2587
Tc 1.4575 2.0247 1.2340
Te -0.3621 0.0000 2.7463

***

No. 26
16
Lattice="7.3320 0.0000 0.0000 0.0000 10.5854 0.0000 0.0000 0.0000 4.5282" Properties=species:S:1:pos:R:3 comment="Tc3Te5 | Alexandria | GGA-PBE | optimized geometry" polymorph_energy_mev_per_atom=399 e_form_raw_ev_per_atom=0.52 sg="Cmmm, No. 65" mass_density_g_cm3=8.81 pbc="T T T"
Tc 0.0000 0.0000 0.0000
Tc 0.0000 2.1179 2.2641
Tc 0.0000 8.4675 2.2641
Tc 3.6660 3.1748 2.2641
Tc 3.6660 5.2927 0.0000
Tc 3.6660 7.4106 2.2641
Te 0.0000 5.2927 0.0000
Te 1.5603 0.0000 2.2641
Te 1.8330 2.6463 0.0000
Te 1.8330 7.9390 0.0000
Te 2.1058 5.2927 2.2641
Te 3.6660 0.0000 0.0000
Te 5.2263 5.2927 2.2641
Te 5.4990 2.6463 0.0000
Te 5.4990 7.9390 0.0000
Te 5.7718 0.0000 2.2641